VASP calculation (PBE-GGA) on a relaxed structure of PrNd2Cd2Sn2.

POSCAR file:
```
PrNd2Cd2Sn2
1.0
4.9967 0.0000 0.0000
2.4983 4.3272 0.0000
2.4983 1.4424 9.2820
Pr Nd Cd Sn
1 2 2 2
Direct
0.0000 0.0000 0.0000 Pr
0.1325 0.1325 0.6026 Nd
0.8675 0.8675 0.3974 Nd
0.5818 0.5818 0.2547 Cd
0.4182 0.4182 0.7453 Cd
0.7327 0.7327 0.8018 Sn
0.2673 0.2673 0.1982 Sn
```

Values from the calculation:
size of the total moment = 0.000 μB/f.u.
crystal system = trigonal
formation energy from the elements = -2.46 eV per formula unit